Compound: KTeO3
Source: the Alexandria database
Functional: SCAN
Structure: single point on PBEsol structure

Cell and atoms, written as extended XYZ:
```
5
Lattice="4.0777 0.0000 0.0000 0.0000 4.0777 0.0000 0.0000 0.0000 4.0777" Properties=species:S:1:pos:R:3 pbc="T T T"
K 2.0388 2.0388 2.0388
Te 0.0000 0.0000 0.0000
O 0.0000 2.0388 0.0000
O 0.0000 0.0000 2.0388
O 2.0388 0.0000 0.0000
```

Output
Its formation energy (no corrections) is -1371 meV per atom. For the volume, the calculation gives 13.56 Å³/atom. The value obtained for the density of states at the Fermi level is 0.750 states/eV/cell. The space group is Pm-3m.

Compound: KTeO4
Source: the Alexandria database
Functional: SCAN
Structure: single point on PBEsol structure

Cell and atoms, written as extended XYZ:
```
12
Lattice="5.1544 -0.0056 0.0000 -0.2529 6.4775 0.0000 -2.4507 -3.2360 5.4892" Properties=species:S:1:pos:R:3 pbc="T T T"
K 1.2886 -0.0014 3.7356
K 1.1621 3.2374 1.7536
Te 3.8658 -0.0042 0.8655
Te -1.4151 3.2402 4.6237
O 0.1084 5.4285 0.5950
O 2.2159 1.0462 0.5950
O 2.3423 -2.1925 4.8942
O 0.2349 2.1897 4.8942
O 3.1260 -1.2261 2.1148
O -0.5488 1.2233 2.1148
O -0.6753 4.4621 3.3744
O 2.9996 2.0127 3.3744
```

Output
Its formation energy (no corrections) is -1123 meV per atom. For the volume, the calculation gives 15.27 Å³/atom. The space group is C2/c.

Compound: K2TeO4
Source: the Alexandria database
Functional: SCAN
Structure: single point on PBEsol structure

Cell and atoms, written as extended XYZ:
```
28
Lattice="6.2337 0.0000 0.0573 0.0000 8.0598 0.0000 -0.9383 0.0000 10.9496" Properties=species:S:1:pos:R:3 pbc="T T T"
K 1.7349 6.3650 0.9383
K 4.3828 3.9768 2.7160
K 4.3825 5.7248 6.4417
K 4.4986 8.0067 2.8448
K 0.7968 0.0531 8.1621
K 0.9128 2.3351 4.5652
K 0.9126 4.0830 8.2909
K 3.5605 1.6948 10.0686
Te 1.3414 2.1953 0.8246
Te 3.9891 1.8346 6.3280
Te 1.3062 6.2253 4.6789
Te 3.9539 5.8645 10.1823
O 2.5544 0.8731 1.2216
O 2.0565 3.7995 1.3418
O 3.6849 1.9292 4.5128
O 2.9219 5.9712 3.8331
O 5.2020 3.1568 6.7251
O 4.7041 0.2304 6.8453
O 5.9595 1.9413 1.7277
O 5.1965 5.9591 1.0479
O 0.0989 2.1008 9.9590
O -0.6641 6.1186 9.2792
O 0.5912 7.8294 4.1616
O 0.0933 4.9030 4.2818
O 2.3735 2.0886 7.1738
O 1.6104 6.1307 6.4941
O 3.2389 4.2603 9.6651
O 2.7410 7.1867 9.7853
```

Output
Its formation energy (no corrections) is -1528 meV per atom. For the volume, the calculation gives 19.66 Å³/atom. The value obtained for the density of states at the Fermi level is 0.000 states/eV/cell. The space group is P2_1/c.

Compound: KYTe2O6
Source: the Alexandria database
Functional: SCAN
Structure: single point on PBEsol structure

Cell and atoms, written as extended XYZ:
```
40
Lattice="-2.4814 5.4762 0.5160 -2.6084 -0.4285 -7.9965 -11.4487 -5.5678 4.0329" Properties=species:S:1:pos:R:3 pbc="T T T"
K -7.8821 -2.1554 2.6119
K -3.4180 0.4215 -3.2680
K -8.6565 1.6354 -6.0594
K -13.1206 -0.9415 -0.1795
Y -13.1076 -4.0465 -2.4471
Y -7.2145 -1.2349 -3.9463
Y -3.4310 3.5265 -1.0004
Y -9.3241 0.7149 0.4987
Te -11.1081 -0.3880 3.6249
Te -6.6765 2.1835 -2.3549
Te -5.4305 -0.1320 -7.0725
Te -9.8621 -2.7035 -1.0926
Te -10.4414 0.5413 -3.0319
Te -4.8604 3.3017 -5.4881
Te -6.0972 -1.0614 -0.4157
Te -11.6782 -3.8217 2.0405
O -13.8774 0.5875 -3.1334
O -6.3896 0.8408 -3.6375
O -3.8506 1.5173 -0.0669
O -8.9596 -3.9857 -0.0574
O -2.6612 -1.1075 -0.3142
O -10.1490 -1.3608 0.1900
O -12.6880 -2.0374 -3.3807
O -7.5790 3.4657 -3.3902
O -9.6282 0.3684 2.7141
O -4.9687 2.9774 -2.5670
O -6.9104 -0.8884 -6.1616
O -11.5699 -3.4974 -0.8806
O -10.4685 2.2015 -3.9034
O -3.2351 2.4187 -5.1795
O -7.2571 -0.1020 0.7027
O -12.1165 -5.5583 1.4851
O -6.0701 -2.7215 0.4558
O -13.3035 -2.9388 1.7319
O -9.2815 -0.4180 -4.1502
O -4.4221 5.0383 -4.9327
O -9.1584 0.9987 -1.7163
O -4.6117 3.5892 -7.3432
O -7.3802 -1.5188 -1.7313
O -11.9269 -4.1092 3.8956
```

Output
Its formation energy (no corrections) is -2077 meV per atom. For the volume, the calculation gives 16.97 Å³/atom. The value obtained for the density of states at the Fermi level is 0.000 states/eV/cell. The space group is Pnma.

VASP energy / eV per cell: -71.1; -154.5; -358.1; -675.3